Entry 1:
# Y5Sb4Te | Alexandria | PBE-GGA | optimized geometry
# E_form (uncorrected): -1229 meV/atom
# Energy relative to the lowest polymorph listed for this composition: 0.000 eV per atom
data_Y5Sb4Te
_chemical_formula_sum 'Y5 Sb4 Te1'
_space_group_name_H-M_alt 'P 1'
_space_group_IT_number 1
_space_group_name_Hall 'P 1'
_cell_length_a 4.3892
_cell_length_b 6.2001
_cell_length_c 11.6129
_cell_angle_alpha 105.48
_cell_angle_beta 100.89
_cell_angle_gamma 90.00
loop_
_atom_site_label
_atom_site_type_symbol
_atom_site_fract_x
_atom_site_fract_y
_atom_site_fract_z
Y1 Y 0.6044 0.1044 0.2089
Y2 Y 0.8006 0.3006 0.6013
Y3 Y 0.1994 0.6994 0.3987
Y4 Y 0.0000 0.5000 0.0000
Y5 Y 0.3956 0.8956 0.7911
Sb1 Sb 0.4009 0.4009 0.8019
Sb2 Sb 0.7993 0.7993 0.5985
Sb3 Sb 0.2007 0.2007 0.4015
Sb4 Sb 0.5991 0.5991 0.1981
Te1 Te 0.0000 0.0000 0.0000

---

Entry 2:
# Ca3Pm4Ga4 | Alexandria | PBE-GGA | optimized geometry
# Energy relative to the elements: -305 meV/atom
data_Ca3Pm4Ga4
_chemical_formula_sum 'Ca3 Pm4 Ga4'
_space_group_name_H-M_alt 'P 1'
_space_group_IT_number 1
_space_group_name_Hall 'P 1'
_cell_length_a 5.1643
_cell_length_b 7.5746
_cell_length_c 9.3955
_cell_angle_alpha 113.77
_cell_angle_beta 105.95
_cell_angle_gamma 90.00
loop_
_atom_site_label
_atom_site_type_symbol
_atom_site_fract_x
_atom_site_fract_y
_atom_site_fract_z
Ca1 Ca 0.1054 0.1054 0.2108
Ca2 Ca 0.8946 0.8946 0.7892
Ca3 Ca 0.0000 0.5000 0.0000
Pm1 Pm 0.3266 0.1088 0.6532
Pm2 Pm 0.6734 0.4555 0.3468
Pm3 Pm 0.6734 0.8912 0.3468
Pm4 Pm 0.3266 0.5445 0.6532
Ga1 Ga 0.1935 0.6935 0.3869
Ga2 Ga 0.8065 0.3065 0.6131
Ga3 Ga 0.5000 0.8299 0.0000
Ga4 Ga 0.5000 0.1701 0.0000

---

Entry 3:
# LiHoTh | Alexandria | PBE-GGA | optimized geometry
# Energy relative to the elements: 55 meV/atom
# Energy relative to the lowest polymorph listed for this composition: 0.000 eV per atom
data_LiHoTh
_chemical_formula_sum 'Li2 Ho2 Th2'
_space_group_name_H-M_alt 'P 1'
_space_group_IT_number 1
_space_group_name_Hall 'P 1'
_cell_length_a 3.5946
_cell_length_b 3.5946
_cell_length_c 12.8231
_cell_angle_alpha 90.00
_cell_angle_beta 90.00
_cell_angle_gamma 90.00
loop_
_atom_site_label
_atom_site_type_symbol
_atom_site_fract_x
_atom_site_fract_y
_atom_site_fract_z
Th1 Th 0.0000 0.5000 0.5948
Th2 Th 0.5000 0.0000 0.4052
Ho1 Ho 0.5000 0.0000 0.7841
Ho2 Ho 0.0000 0.5000 0.2159
Li1 Li 0.0000 0.5000 0.9487
Li2 Li 0.5000 0.0000 0.0513

---

Entry 4:
# Zn2CdAgAu | Alexandria | PBE-GGA | optimized geometry
# Energy relative to the elements: -66 meV/atom
data_Zn2CdAgAu
_chemical_formula_sum 'Zn4 Cd2 Ag2 Au2'
_space_group_name_H-M_alt 'P 1'
_space_group_IT_number 1
_space_group_name_Hall 'P 1'
_cell_length_a 5.1799
_cell_length_b 5.1856
_cell_length_c 7.3475
_cell_angle_alpha 110.66
_cell_angle_beta 90.00
_cell_angle_gamma 90.00
loop_
_atom_site_label
_atom_site_type_symbol
_atom_site_fract_x
_atom_site_fract_y
_atom_site_fract_z
Zn1 Zn 0.5000 0.2486 0.0000
Zn2 Zn 0.0000 0.7514 0.0000
Zn3 Zn 0.5000 0.7514 0.0000
Zn4 Zn 0.0000 0.2486 0.0000
Cd1 Cd 0.7500 0.7485 0.4971
Cd2 Cd 0.2500 0.2515 0.5029
Ag1 Ag 0.2500 0.8524 0.7048
Ag2 Ag 0.7500 0.1476 0.2952
Au1 Au 0.2500 0.6445 0.2891
Au2 Au 0.7500 0.3555 0.7109

---

Entry 5:
# RbSi2Pt | Alexandria | PBE-GGA | optimized geometry
# E_form (uncorrected): 606 meV/atom
# Energy relative to the lowest polymorph listed for this composition: 0.725 eV per atom
data_RbSi2Pt
_chemical_formula_sum 'Rb1 Si2 Pt1'
_space_group_name_H-M_alt 'P 1'
_space_group_IT_number 1
_space_group_name_Hall 'P 1'
_cell_length_a 4.7656
_cell_length_b 4.7656
_cell_length_c 4.7656
_cell_angle_alpha 60.00
_cell_angle_beta 60.00
_cell_angle_gamma 60.00
loop_
_atom_site_label
_atom_site_type_symbol
_atom_site_fract_x
_atom_site_fract_y
_atom_site_fract_z
Si1 Si 0.2500 0.2500 0.2500
Si2 Si 0.7500 0.7500 0.7500
Rb1 Rb 0.0000 0.0000 0.0000
Pt1 Pt 0.5000 0.5000 0.5000

---

Entry 6:
# CaCeMg14 | Alexandria | PBE-GGA | optimized geometry
# Energy relative to the elements: 50 meV/atom
# Energy relative to the lowest polymorph listed for this composition: 0.018 eV per atom
data_CaCeMg14
_chemical_formula_sum 'Ca1 Ce1 Mg14'
_space_group_name_H-M_alt 'P 1'
_space_group_IT_number 1
_space_group_name_Hall 'P 1'
_cell_length_a 6.5927
_cell_length_b 6.5927
_cell_length_c 10.5935
_cell_angle_alpha 90.00
_cell_angle_beta 90.00
_cell_angle_gamma 120.47
loop_
_atom_site_label
_atom_site_type_symbol
_atom_site_fract_x
_atom_site_fract_y
_atom_site_fract_z
Ca1 Ca 0.6640 0.3360 0.0000
Ce1 Ce 0.1578 0.8422 0.0000
Mg1 Mg 0.6714 0.3286 0.5000
Mg2 Mg 0.1693 0.8307 0.5000
Mg3 Mg 0.6563 0.8272 0.0000
Mg4 Mg 0.6656 0.8318 0.5000
Mg5 Mg 0.1728 0.3437 0.0000
Mg6 Mg 0.1682 0.3344 0.5000
Mg7 Mg 0.8336 0.6683 0.2614
Mg8 Mg 0.8336 0.6683 0.7386
Mg9 Mg 0.3317 0.1664 0.2614
Mg10 Mg 0.3317 0.1664 0.7386
Mg11 Mg 0.8394 0.1606 0.2498
Mg12 Mg 0.8394 0.1606 0.7502
Mg13 Mg 0.3326 0.6674 0.2515
Mg14 Mg 0.3326 0.6674 0.7485

---

Entry 7:
# CdAgRh2 | Alexandria | PBE-GGA | optimized geometry
# Energy relative to the elements: 192 meV/atom
data_CdAgRh2
_chemical_formula_sum 'Cd1 Ag1 Rh2'
_space_group_name_H-M_alt 'P 1'
_space_group_IT_number 1
_space_group_name_Hall 'P 1'
_cell_length_a 2.8526
_cell_length_b 4.0727
_cell_length_c 5.6625
_cell_angle_alpha 90.00
_cell_angle_beta 90.00
_cell_angle_gamma 90.00
loop_
_atom_site_label
_atom_site_type_symbol
_atom_site_fract_x
_atom_site_fract_y
_atom_site_fract_z
Cd1 Cd 0.5000 0.5000 0.5000
Ag1 Ag 0.5000 0.5000 0.0000
Rh1 Rh 0.0000 0.0000 0.7523
Rh2 Rh 0.0000 0.0000 0.2477

---

Entry 8:
# ScBiSe2N | Alexandria | PBE-GGA | optimized geometry
# E_form (uncorrected): 532 meV/atom
# Energy relative to the lowest polymorph listed for this composition: 0.678 eV per atom
data_ScBiSe2N
_chemical_formula_sum 'Sc1 Bi1 Se2 N1'
_space_group_name_H-M_alt 'P 1'
_space_group_IT_number 1
_space_group_name_Hall 'P 1'
_cell_length_a 5.4544
_cell_length_b 5.4544
_cell_length_c 4.2135
_cell_angle_alpha 90.00
_cell_angle_beta 90.00
_cell_angle_gamma 90.00
loop_
_atom_site_label
_atom_site_type_symbol
_atom_site_fract_x
_atom_site_fract_y
_atom_site_fract_z
Sc1 Sc 0.5000 0.5000 0.5000
Bi1 Bi 0.0000 0.0000 0.0000
Se1 Se 0.0000 0.5000 0.0000
Se2 Se 0.5000 0.0000 0.0000
N1 N 0.0000 0.0000 0.5000

---

Entry 9:
# Tl2RuPb | Alexandria | PBE-GGA | optimized geometry
# Energy relative to the elements: 638 meV/atom
# Energy relative to the lowest polymorph listed for this composition: 0.344 eV per atom
data_Tl2RuPb
_chemical_formula_sum 'Tl2 Ru1 Pb1'
_space_group_name_H-M_alt 'P 1'
_space_group_IT_number 1
_space_group_name_Hall 'P 1'
_cell_length_a 5.1374
_cell_length_b 5.1374
_cell_length_c 5.1374
_cell_angle_alpha 60.00
_cell_angle_beta 60.00
_cell_angle_gamma 60.00
loop_
_atom_site_label
_atom_site_type_symbol
_atom_site_fract_x
_atom_site_fract_y
_atom_site_fract_z
Pb1 Pb 0.5000 0.5000 0.5000
Ru1 Ru 0.7500 0.7500 0.7500
Tl1 Tl 0.0000 0.0000 0.0000
Tl2 Tl 0.2500 0.2500 0.2500

---

Entry 10:
# AcLa3Sn2 | Alexandria | PBE-GGA | optimized geometry
# Energy relative to the elements: -547 meV/atom
# Energy relative to the lowest polymorph listed for this composition: 0.000 eV per atom
data_AcLa3Sn2
_chemical_formula_sum 'Ac2 La6 Sn4'
_space_group_name_H-M_alt 'P 1'
_space_group_IT_number 1
_space_group_name_Hall 'P 1'
_cell_length_a 4.8781
_cell_length_b 10.8355
_cell_length_c 10.0012
_cell_angle_alpha 123.39
_cell_angle_beta 90.00
_cell_angle_gamma 103.01
loop_
_atom_site_label
_atom_site_type_symbol
_atom_site_fract_x
_atom_site_fract_y
_atom_site_fract_z
Ac1 Ac 0.8837 0.7675 0.9023
Ac2 Ac 0.1163 0.2325 0.0977
La1 La 0.3079 0.6158 0.5070
La2 La 0.9452 0.8904 0.5797
La3 La 0.6479 0.2959 0.8187
La4 La 0.3521 0.7041 0.1813
La5 La 0.0548 0.1096 0.4203
La6 La 0.6921 0.3842 0.4930
Sn1 Sn 0.4909 0.9817 0.8374
Sn2 Sn 0.5091 0.0183 0.1626
Sn3 Sn 0.7604 0.5209 0.2334
Sn4 Sn 0.2396 0.4791 0.7666

---

Entry 11:
# Y2TaW | Alexandria | PBE-GGA | optimized geometry
# Energy relative to the elements: 438 meV/atom
# Energy relative to the lowest polymorph listed for this composition: 0.221 eV per atom
data_Y2TaW
_chemical_formula_sum 'Y2 Ta1 W1'
_space_group_name_H-M_alt 'P 1'
_space_group_IT_number 1
_space_group_name_Hall 'P 1'
_cell_length_a 10.2192
_cell_length_b 10.2192
_cell_length_c 10.2192
_cell_angle_alpha 18.72
_cell_angle_beta 18.72
_cell_angle_gamma 18.72
loop_
_atom_site_label
_atom_site_type_symbol
_atom_site_fract_x
_atom_site_fract_y
_atom_site_fract_z
Ta1 Ta 0.4867 0.4867 0.4867
W1 W 0.7598 0.7598 0.7598
Y1 Y 0.0145 0.0145 0.0145
Y2 Y 0.2391 0.2391 0.2391

---

Entry 12:
# CsCrMo2P | Alexandria | PBE-GGA | optimized geometry
# Energy relative to the elements: 1364 meV/atom
data_CsCrMo2P
_chemical_formula_sum 'Cs1 Cr1 Mo2 P1'
_space_group_name_H-M_alt 'P 1'
_space_group_IT_number 1
_space_group_name_Hall 'P 1'
_cell_length_a 4.8429
_cell_length_b 4.5513
_cell_length_c 4.8429
_cell_angle_alpha 90.00
_cell_angle_beta 90.00
_cell_angle_gamma 90.00
loop_
_atom_site_label
_atom_site_type_symbol
_atom_site_fract_x
_atom_site_fract_y
_atom_site_fract_z
Cs1 Cs 0.5000 0.5000 0.5000
Cr1 Cr 0.0000 0.0000 0.0000
Mo1 Mo 0.0000 0.0000 0.5000
Mo2 Mo 0.5000 0.0000 0.0000
P1 P 0.0000 0.5000 0.0000

---

Entry 13:
# Rb3Sm2MgTe6 | Alexandria | PBE-GGA | optimized geometry
# E_form (uncorrected): -1151 meV/atom
data_Rb3Sm2MgTe6
_chemical_formula_sum 'Rb3 Sm2 Mg1 Te6'
_space_group_name_H-M_alt 'P 1'
_space_group_IT_number 1
_space_group_name_Hall 'P 1'
_cell_length_a 7.8106
_cell_length_b 7.8106
_cell_length_c 9.0491
_cell_angle_alpha 98.30
_cell_angle_beta 98.30
_cell_angle_gamma 120.04
loop_
_atom_site_label
_atom_site_type_symbol
_atom_site_fract_x
_atom_site_fract_y
_atom_site_fract_z
Rb1 Rb 0.1697 0.8303 0.5000
Rb2 Rb 0.8303 0.1697 0.5000
Rb3 Rb 0.5000 0.5000 0.5000
Sm1 Sm 0.3337 0.6663 0.0000
Sm2 Sm 0.6663 0.3337 0.0000
Mg1 Mg 0.0000 0.0000 0.0000
Te1 Te 0.9339 0.6099 0.8012
Te2 Te 0.7426 0.7426 0.2004
Te3 Te 0.0661 0.3901 0.1988
Te4 Te 0.6099 0.9339 0.8012
Te5 Te 0.2574 0.2574 0.7996
Te6 Te 0.3901 0.0661 0.1988

---

Entry 14:
# Mo2PBr | Alexandria | PBE-GGA | optimized geometry
# E_form (uncorrected): 178 meV/atom
# Energy relative to the lowest polymorph listed for this composition: 0.136 eV per atom
data_Mo2PBr
_chemical_formula_sum 'Mo2 P1 Br1'
_space_group_name_H-M_alt 'P 1'
_space_group_IT_number 1
_space_group_name_Hall 'P 1'
_cell_length_a 4.5260
_cell_length_b 3.1678
_cell_length_c 4.6006
_cell_angle_alpha 89.96
_cell_angle_beta 90.00
_cell_angle_gamma 90.00
loop_
_atom_site_label
_atom_site_type_symbol
_atom_site_fract_x
_atom_site_fract_y
_atom_site_fract_z
Br1 Br 0.5000 0.8746 0.7522
Mo1 Mo 0.0000 0.8754 0.0467
Mo2 Mo 0.5000 0.3753 0.2513
P1 P 0.0000 0.3747 0.4498

---

Entry 15:
# ErZrC2 | Alexandria | PBE-GGA | optimized geometry
# Energy relative to the elements: -430 meV/atom
# Energy relative to the lowest polymorph listed for this composition: 0.000 eV per atom
data_ErZrC2
_chemical_formula_sum 'Er1 Zr1 C2'
_space_group_name_H-M_alt 'P 1'
_space_group_IT_number 1
_space_group_name_Hall 'P 1'
_cell_length_a 3.4194
_cell_length_b 3.4194
_cell_length_c 5.9983
_cell_angle_alpha 73.44
_cell_angle_beta 73.44
_cell_angle_gamma 60.00
loop_
_atom_site_label
_atom_site_type_symbol
_atom_site_fract_x
_atom_site_fract_y
_atom_site_fract_z
C1 C 0.2559 0.2559 0.2324
C2 C 0.7441 0.7441 0.7676
Zr1 Zr 0.0000 0.0000 0.0000
Er1 Er 0.5000 0.5000 0.5000

---

Q: Which spin magnetization values were calculated for the entries above? A: 0.00; 0.00; 0.00; 0.00; 0.00; 1.34; 1.08; 0.01; 0.00; 1.20; 0.00; 3.57; 0.00; 0.00; 0.00, in μB per cell.